[1]
La2ErPb2 (PBE, optimized geometry); total DFT energy (no corrections) = -49.22 eV for the cell shown; formation energy from the elements = -2.777 eV/f.u.; SG = P4/mbm (127); total moment = 0.0 Bohr magnetons per cell
1.0
8.3131 0.0000 0.0000
0.0000 8.3131 0.0000
0.0000 0.0000 4.7508
La Er Pb
4 2 4
direct
0.1697 0.3303 0.0000
0.3303 0.8303 0.0000
0.6697 0.1697 0.0000
0.8303 0.6697 0.0000
0.0000 0.0000 0.5000
0.5000 0.5000 0.5000
0.1355 0.6355 0.5000
0.3645 0.1355 0.5000
0.6355 0.8645 0.5000
0.8645 0.3645 0.5000



[2]
SmErTi (PBE, optimized geometry); total DFT energy (no corrections) = -33.85 eV for the cell shown; formation energy from the elements = 0.251 eV/f.u.; SG = P4/nmm (129); total moment = 0.0 Bohr magnetons per cell
1.0
3.5625 0.0000 0.0000
0.0000 3.5625 0.0000
0.0000 0.0000 12.8553
Sm Er Ti
2 2 2
direct
0.2500 0.2500 0.0986
0.7500 0.7500 0.9014
0.2500 0.2500 0.6946
0.7500 0.7500 0.3054
0.2500 0.2500 0.4570
0.7500 0.7500 0.5430



[3]
TaIn2P (PBE, optimized geometry); total DFT energy (no corrections) = -20.77 eV for the cell shown; formation energy from the elements = 1.965 eV/f.u.; SG = P4/mmm (123); total moment = 0.0 Bohr magnetons per cell
1.0
4.7852 0.0000 0.0000
0.0000 4.7852 0.0000
0.0000 0.0000 3.4827
Ta In P
1 2 1
direct
0.0000 0.0000 0.0000
0.0000 0.5000 0.5000
0.5000 0.0000 0.5000
0.5000 0.5000 0.0000



[4]
Sc2Co2Si (PBE, optimized geometry); total DFT energy (no corrections) = -68.84 eV for the cell shown; SG = C2/m (12); total moment = 0.0 Bohr magnetons per cell; E_form (uncorrected) = -0.42 eV per atom
1.0
5.6022 -2.0342 0.0000
5.6022 2.0342 0.0000
-2.0693 0.0000 6.7205
Sc Co Si
4 4 2
direct
0.0213 0.0213 0.2584
0.2514 0.2514 0.6667
0.7486 0.7486 0.3333
0.9788 0.9788 0.7416
0.3982 0.3982 0.4043
0.4017 0.4017 0.0304
0.5983 0.5983 0.9696
0.6018 0.6018 0.5957
0.2042 0.2042 0.0639
0.7958 0.7958 0.9361



[5]
HgP2Os (PBE, optimized geometry); total DFT energy (no corrections) = -41.20 eV for the cell shown; formation energy from the elements = 1.749 eV/f.u.; SG = Immm (71); total moment = 0.0 Bohr magnetons per cell
1.0
2.8985 0.0000 0.0000
0.0000 4.8839 0.0000
0.0000 0.0000 10.5887
Hg P Os
2 4 2
direct
0.0000 0.0000 0.0000
0.5000 0.5000 0.5000
0.0000 0.5000 0.1805
0.0000 0.5000 0.8195
0.5000 0.0000 0.3195
0.5000 0.0000 0.6805
0.0000 0.0000 0.5000
0.5000 0.5000 0.0000



[6]
La6Pm5Sc (PBE, optimized geometry); total DFT energy (no corrections) = -59.33 eV for the cell shown; formation energy from the elements = 0.317 eV/f.u.; SG = Immm (71); total moment = 0.0 Bohr magnetons per cell
1.0
-2.6128 5.1061 7.8076
2.6128 -5.1061 7.8076
2.6128 5.1061 -7.8076
La Pm Sc
6 5 1
direct
0.0819 0.3357 0.7461
0.2439 0.0000 0.2439
0.4104 0.6643 0.7461
0.5896 0.3357 0.2539
0.7561 0.0000 0.7561
0.9181 0.6643 0.2539
0.1654 0.1654 0.0000
0.3337 0.8337 0.5000
0.5000 0.5000 0.0000
0.6663 0.1663 0.5000
0.8346 0.8346 0.0000
0.0000 0.5000 0.5000



> Which formula does entry 2 have?

SmErTi